No. 1
## Ca2IBr (PBE-GGA)

Data for Ca2IBr after structural relaxation.

a b c (Å): 7.788 7.788 7.788
angles (deg): 90.00 90.00 90.00
Element x y z (fractional)
Ca: 0.250 0.250 0.250
Ca: 0.250 0.250 0.750
Ca: 0.250 0.750 0.250
Ca: 0.250 0.750 0.750
Ca: 0.750 0.250 0.250
Ca: 0.750 0.250 0.750
Ca: 0.750 0.750 0.250
Ca: 0.750 0.750 0.750
I: 0.000 0.000 0.000
I: 0.000 0.500 0.500
I: 0.500 0.000 0.500
I: 0.500 0.500 0.000
Br: 0.000 0.000 0.500
Br: 0.000 0.500 0.000
Br: 0.500 0.000 0.000
Br: 0.500 0.500 0.500

Computed properties:
M_tot (μB per formula unit): 0.9
Symmetry: Fm-3m, No. 225
Energy above the most stable polymorph in this dataset (kcal/mol of atoms): 1.358

---

No. 2
## CaIBr2 (PBE-GGA)

Data for CaIBr2 after structural relaxation.

a b c (Å): 5.836 7.618 8.340
angles (deg): 66.08 82.79 70.22
Element x y z (fractional)
Ca: 0.000 0.000 0.000
Ca: 0.439 0.306 0.507
I: 0.243 0.687 0.638
I: 0.538 0.963 0.894
Br: 0.162 0.584 0.197
Br: 0.505 0.911 0.440
Br: 0.788 0.175 0.250
Br: 0.932 0.302 0.642

Computed properties:
M_tot (μB per formula unit): 0.0
Symmetry: P1, No. 1
Energy above the most stable polymorph in this dataset (kcal/mol of atoms): 3.655